(1)
BeSiAg: optimized geometry, PBE-GGA.

abc: 3.948 3.948 3.332
angles: 90.00 90.00 120.00
Element x y z (fractional)
Ag (0.000, 0.000, 0.000)
Be (0.333, 0.667, 0.501)
Si (0.667, 0.333, 0.500)

## Properties
As for the density of states at the Fermi level: 0.37 states/eV/atom. Its space group is No. 187. Its energy above the most stable polymorph in this dataset is 138 meV/atom.

(2)
KBeCr2: optimized geometry, PBE-GGA.

abc: 5.282 5.586 2.485
angles: 80.55 82.92 116.45
Element x y z (fractional)
Be (0.500, 0.500, 0.000)
K (0.000, 0.500, 0.500)
Cr (0.500, 0.000, 0.500)
Cr (0.000, 0.000, 0.000)

## Properties
The calculation puts the formation energy at 609 kJ/mol of formula units. As for the density of states at the Fermi level: 1.12 states/eV/atom. Its space group is No. 12.

(3)
YZr2B: optimized geometry, PBE-GGA.

abc: 7.789 7.789 6.170
angles: 50.86 50.86 90.00
Element x y z (fractional)
Zr (0.539, 0.125, 0.250)
Y (0.000, 0.000, 0.000)
B (0.500, 0.500, 0.000)
Zr (0.875, 0.789, 0.750)
B (0.250, 0.750, 0.500)
Zr (0.375, 0.461, 0.750)
Zr (0.211, 0.625, 0.250)
Y (0.750, 0.250, 0.500)

## Properties
The calculation puts the formation energy at 71 kJ/mol of formula units. As for the density of states at the Fermi level: 0.54 states/eV/atom. Its space group is No. 122.

(4)
AcGdHoTm: optimized geometry, PBE-GGA.

abc: 5.808 5.808 5.808
angles: 60.00 60.00 60.00
Element x y z (fractional)
Gd (0.750, 0.750, 0.750)
Tm (0.000, 0.000, 0.000)
Ho (0.500, 0.500, 0.500)
Ac (0.250, 0.250, 0.250)

## Properties
The calculation puts the formation energy at 41 kJ/mol of formula units. As for the density of states at the Fermi level: 1.64 states/eV/atom. Its space group is No. 216.